TcMoNO2 GGA+U optimized geometry; calculated total energy = -7.0697 eV/atom; magnetization = 1.0516 μB per atom
1.0
3.926 0.000 0.000
0.000 3.926 0.000
0.000 0.000 4.069
Tc Mo N O
1 1 1 2
direct
0.000 0.000 0.000
0.500 0.500 0.500
0.500 0.500 0.000
0.000 0.500 0.500
0.500 0.000 0.500